No. 1
Li2IrPt after structural relaxation, computed with PBE.

Lattice parameters (Å, degrees): 2.7163 2.7163 25.8346 90.00 90.00 120.00
Space group R-3m (No. 166, hexagonal axes)
Asymmetric unit:
Li1 0.0000 0.0000 0.2493 (multiplicity 6)
Ir1 0.0000 0.0000 0.0000 (multiplicity 3)
Pt1 0.0000 0.0000 0.5000 (multiplicity 3)

Calculated values
The total magnetization comes out at 0.006 Bohr magnetons per cell. For the energy above the lowest structure with this stoichiometry, the calculation gives 0 meV/atom. The formation energy comes out at -1.75 eV/f.u.


No. 2
LiIrPt2 after structural relaxation, computed with PBE.

Lattice parameters (Å, degrees): 6.1803 6.1803 6.1803 90.00 90.00 90.00
Space group Fm-3m (No. 225)
Asymmetric unit:
Li1 0.0000 0.0000 0.0000 (multiplicity 4)
Ir1 0.0000 0.0000 0.5000 (multiplicity 4)
Pt1 0.2500 0.2500 0.2500 (multiplicity 8)

Calculated values
The total magnetization comes out at 0.000 Bohr magnetons per cell. For the energy above the lowest structure with this stoichiometry, the calculation gives 348 meV/atom. The formation energy comes out at -0.09 eV/f.u.


No. 3
LiIr2Pt after structural relaxation, computed with PBE.

Lattice parameters (Å, degrees): 2.7305 4.6603 9.2538 90.00 90.00 90.00
Space group Cmmm (No. 65)
Asymmetric unit:
Li1 0.0000 0.0000 0.0000 (multiplicity 2)
Ir1 0.0000 0.5000 0.2419 (multiplicity 4)
Pt1 0.0000 0.0000 0.5000 (multiplicity 2)

Calculated values
The total magnetization comes out at 0.002 Bohr magnetons per cell. For the energy above the lowest structure with this stoichiometry, the calculation gives 288 meV/atom. The formation energy comes out at 0.47 eV/f.u.